Entry 1
Density functional theory data (PBEsol) for a relaxed structure of IrAuF3.

The structure in CIF format:
```
data_IrAuF3
_cell_length_a 4.286
_cell_length_b 4.286
_cell_length_c 4.286
_cell_angle_alpha 90.00
_cell_angle_beta 90.00
_cell_angle_gamma 90.00
_space_group_name_H-M_alt 'P m -3 m'
_space_group_IT_number 221
_space_group_name_Hall '-P 4 2 3'
loop_
_atom_site_label
_atom_site_fract_x
_atom_site_fract_y
_atom_site_fract_z
_atom_site_occupancy
Ir1 0.000 0.000 0.000 1
Au1 0.500 0.500 0.500 1
F1 0.000 0.500 0.500 1
```

=====

Entry 2
Density functional theory data (PBEsol) for a relaxed structure of IrAuF3.

The structure in CIF format:
```
data_IrAuF3
_cell_length_a 4.129
_cell_length_b 4.129
_cell_length_c 4.129
_cell_angle_alpha 90.00
_cell_angle_beta 90.00
_cell_angle_gamma 90.00
_space_group_name_H-M_alt 'P m -3 m'
_space_group_IT_number 221
_space_group_name_Hall '-P 4 2 3'
loop_
_atom_site_label
_atom_site_fract_x
_atom_site_fract_y
_atom_site_fract_z
_atom_site_occupancy
Ir1 0.000 0.000 0.000 1
Au1 0.500 0.500 0.500 1
F1 0.000 0.000 0.500 1
```

=====

Preferred: entry 2; penalty for the next structure: 0.745 eV/atom.

=====

Entry 1
Density functional theory data (PBEsol) for a relaxed structure of IrAuN2F.

The structure in CIF format:
```
data_IrAuN2F
_cell_length_a 3.997
_cell_length_b 3.997
_cell_length_c 3.955
_cell_angle_alpha 90.00
_cell_angle_beta 90.00
_cell_angle_gamma 90.00
_space_group_name_H-M_alt 'P 4/m m m'
_space_group_IT_number 123
_space_group_name_Hall '-P 4 2'
loop_
_atom_site_label
_atom_site_fract_x
_atom_site_fract_y
_atom_site_fract_z
_atom_site_occupancy
Ir1 0.000 0.000 0.000 1
Au1 0.500 0.500 0.500 1
N1 0.000 0.500 0.500 1
F1 0.500 0.500 0.000 1
```

=====

Entry 2
Density functional theory data (PBEsol) for a relaxed structure of IrAuN2F.

The structure in CIF format:
```
data_IrAuN2F
_cell_length_a 3.775
_cell_length_b 3.775
_cell_length_c 4.460
_cell_angle_alpha 90.00
_cell_angle_beta 90.00
_cell_angle_gamma 90.00
_space_group_name_H-M_alt 'P 4/m m m'
_space_group_IT_number 123
_space_group_name_Hall '-P 4 2'
loop_
_atom_site_label
_atom_site_fract_x
_atom_site_fract_y
_atom_site_fract_z
_atom_site_occupancy
Ir1 0.000 0.000 0.000 1
Au1 0.500 0.500 0.500 1
N1 0.000 0.500 0.000 1
F1 0.000 0.000 0.500 1
```

=====

Preferred: entry 2; penalty for the next structure: 1.261 eV/atom.

=====

Entry 1
Density functional theory data (PBEsol) for a relaxed structure of SiAuOF2.

The structure in CIF format:
```
data_SiAuOF2
_cell_length_a 4.168
_cell_length_b 4.168
_cell_length_c 3.332
_cell_angle_alpha 90.00
_cell_angle_beta 90.00
_cell_angle_gamma 90.00
_space_group_name_H-M_alt 'P 4/m m m'
_space_group_IT_number 123
_space_group_name_Hall '-P 4 2'
loop_
_atom_site_label
_atom_site_fract_x
_atom_site_fract_y
_atom_site_fract_z
_atom_site_occupancy
Si1 0.000 0.000 0.000 1
Au1 0.500 0.500 0.500 1
O1 0.000 0.000 0.500 1
F1 0.000 0.500 0.000 1
```

=====

Entry 2
Density functional theory data (PBEsol) for a relaxed structure of SiAuOF2.

The structure in CIF format:
```
data_SiAuOF2
_cell_length_a 4.298
_cell_length_b 4.298
_cell_length_c 4.061
_cell_angle_alpha 90.00
_cell_angle_beta 90.00
_cell_angle_gamma 90.00
_space_group_name_H-M_alt 'P 4/m m m'
_space_group_IT_number 123
_space_group_name_Hall '-P 4 2'
loop_
_atom_site_label
_atom_site_fract_x
_atom_site_fract_y
_atom_site_fract_z
_atom_site_occupancy
Si1 0.000 0.000 0.000 1
Au1 0.500 0.500 0.500 1
O1 0.500 0.500 0.000 1
F1 0.000 0.500 0.500 1
```

=====

Preferred: entry 1; penalty for the next structure: 1.068 eV/atom.

=====

Entry 1
Density functional theory data (PBEsol) for a relaxed structure of ZrAuOF2.

The structure in CIF format:
```
data_ZrAuOF2
_cell_length_a 4.400
_cell_length_b 4.400
_cell_length_c 4.003
_cell_angle_alpha 90.00
_cell_angle_beta 90.00
_cell_angle_gamma 90.00
_space_group_name_H-M_alt 'P 4/m m m'
_space_group_IT_number 123
_space_group_name_Hall '-P 4 2'
loop_
_atom_site_label
_atom_site_fract_x
_atom_site_fract_y
_atom_site_fract_z
_atom_site_occupancy
Zr1 0.000 0.000 0.000 1
Au1 0.500 0.500 0.500 1
O1 0.500 0.500 0.000 1
F1 0.000 0.500 0.500 1
```

=====

Entry 2
Density functional theory data (PBEsol) for a relaxed structure of ZrAuOF2.

The structure in CIF format:
```
data_ZrAuOF2
_cell_length_a 4.228
_cell_length_b 4.228
_cell_length_c 4.032
_cell_angle_alpha 90.00
_cell_angle_beta 90.00
_cell_angle_gamma 90.00
_space_group_name_H-M_alt 'P 4/m m m'
_space_group_IT_number 123
_space_group_name_Hall '-P 4 2'
loop_
_atom_site_label
_atom_site_fract_x
_atom_site_fract_y
_atom_site_fract_z
_atom_site_occupancy
Zr1 0.000 0.000 0.000 1
Au1 0.500 0.500 0.500 1
O1 0.000 0.000 0.500 1
F1 0.000 0.500 0.000 1
```

=====

Preferred: entry 2; penalty for the next structure: 1.727 eV/atom.

=====

Entry 1
Density functional theory data (PBEsol) for a relaxed structure of Si3AuF.

The structure in CIF format:
```
data_Si3AuF
_cell_length_a 4.317
_cell_length_b 4.317
_cell_length_c 4.317
_cell_angle_alpha 90.00
_cell_angle_beta 90.00
_cell_angle_gamma 90.00
_space_group_name_H-M_alt 'P m -3 m'
_space_group_IT_number 221
_space_group_name_Hall '-P 4 2 3'
loop_
_atom_site_label
_atom_site_fract_x
_atom_site_fract_y
_atom_site_fract_z
_atom_site_occupancy
Si1 0.000 0.000 0.500 1
Au1 0.500 0.500 0.500 1
F1 0.000 0.000 0.000 1
```

=====

Entry 2
Density functional theory data (PBEsol) for a relaxed structure of Si3AuF.

The structure in CIF format:
```
data_Si3AuF
_cell_length_a 4.815
_cell_length_b 4.815
_cell_length_c 4.815
_cell_angle_alpha 90.00
_cell_angle_beta 90.00
_cell_angle_gamma 90.00
_space_group_name_H-M_alt 'P m -3 m'
_space_group_IT_number 221
_space_group_name_Hall '-P 4 2 3'
loop_
_atom_site_label
_atom_site_fract_x
_atom_site_fract_y
_atom_site_fract_z
_atom_site_occupancy
Si1 0.000 0.000 0.500 1
Au1 0.000 0.000 0.000 1
F1 0.500 0.500 0.500 1
```

=====

Preferred: entry 1; penalty for the next structure: 0.406 eV/atom.

=====

Entry 1
Density functional theory data (PBEsol) for a relaxed structure of FeHg2Au.

The structure in CIF format:
```
data_FeHg2Au
_cell_length_a 4.327
_cell_length_b 4.327
_cell_length_c 7.483
_cell_angle_alpha 90.00
_cell_angle_beta 90.00
_cell_angle_gamma 90.00
_space_group_name_H-M_alt 'I 4/m m m'
_space_group_IT_number 139
_space_group_name_Hall '-I 4 2'
loop_
_atom_site_label
_atom_site_fract_x
_atom_site_fract_y
_atom_site_fract_z
_atom_site_occupancy
Fe1 0.000 0.000 0.000 1
Hg1 0.000 0.500 0.250 1
Au1 0.000 0.000 0.500 1
```

=====

Entry 2
Density functional theory data (PBEsol) for a relaxed structure of FeHg2Au.

The structure in CIF format:
```
data_FeHg2Au
_cell_length_a 2.922
_cell_length_b 2.922
_cell_length_c 8.332
_cell_angle_alpha 90.00
_cell_angle_beta 90.00
_cell_angle_gamma 90.00
_space_group_name_H-M_alt 'P 4 m m'
_space_group_IT_number 99
_space_group_name_Hall 'P 4 -2'
loop_
_atom_site_label
_atom_site_fract_x
_atom_site_fract_y
_atom_site_fract_z
_atom_site_occupancy
Fe1 0.000 0.000 0.000 1
Hg1 0.000 0.000 0.529 1
Hg2 0.500 0.500 0.227 1
Au1 0.500 0.500 0.798 1
```

=====

Preferred: entry 2; penalty for the next structure: 0.131 eV/atom.